Li4Ti2V3Co3O16 | PBE+U | optimized geometry

a b c (Å): 5.837 5.837 9.485
angles (deg): 89.65 89.65 60.11
Each line ends with the local moment (μB).
Atoms (fractional coordinates):
O (0.008, 0.008, 0.193)  0.02
O (0.036, 0.479, 0.664)  -0.03
O (0.185, 0.668, 0.409)  0.02
O (0.326, 0.827, 0.901)  -0.01
O (0.827, 0.326, 0.901)  -0.01
O (0.475, 0.475, 0.670)  -0.01
O (0.965, 0.504, 0.152)  0.00
O (0.172, 0.172, 0.403)  -0.01
O (0.329, 0.329, 0.891)  -0.01
O (0.504, 0.965, 0.152)  0.00
O (0.668, 0.185, 0.409)  0.02
O (0.826, 0.826, 0.900)  -0.01
O (0.993, 0.993, 0.697)  -0.02
O (0.657, 0.657, 0.401)  0.03
O (0.479, 0.036, 0.664)  -0.03
O (0.520, 0.520, 0.161)  0.00
Ti (0.348, 0.348, 0.506)  0.06
Ti (0.660, 0.660, 0.996)  0.02
Li (0.000, 0.000, 0.507)  0.00
Li (0.988, 0.988, 0.004)  0.00
Li (0.337, 0.337, 0.097)  0.00
Li (0.664, 0.664, 0.610)  0.00
Co (0.653, 0.165, 0.787)  0.04
Co (0.165, 0.653, 0.787)  0.04
Co (0.832, 0.832, 0.291)  2.65
V (0.843, 0.352, 0.280)  1.03
V (0.169, 0.169, 0.776)  1.02
V (0.352, 0.843, 0.280)  1.03

Calculated values
Symmetry: No. 8
Calculated density in Mg/m³: 4.20
Raw total energy in eV per atom: -7.0131
Total moment in μB per atom: 0.21